[1]
This record from Alexandria describes MgTaInRu after structural relaxation. The functional is PBE-GGA.

Computed properties:
Its space-group type is F-43m. Its electronic total energy is -6.423 eV per atom.

Cell: 4.592 4.592 4.592 Å, 60.00 60.00 60.00°
Element x y z (fractional)
1 Mg 0.000 0.000 0.000
2 Ta 0.750 0.750 0.750
3 In 0.250 0.250 0.250
4 Ru 0.500 0.500 0.500

[2]
This record from Alexandria describes TbMgInRu after structural relaxation. The functional is PBE-GGA.

Computed properties:
Its space-group type is F-43m. The density of states at the Fermi level comes out at 1.189 states/eV per atom. Its electronic total energy is -4.689 eV per atom.

Cell: 4.859 4.859 4.859 Å, 60.00 60.00 60.00°
Element x y z (fractional)
1 Tb 0.000 0.000 0.000
2 Mg 0.250 0.250 0.250
3 In 0.500 0.500 0.500
4 Ru 0.750 0.750 0.750

[3]
This record from Alexandria describes Tm3MgIn3Ru2 after structural relaxation. The functional is PBE-GGA.

Computed properties:
Its space-group type is P-62m. The density of states at the Fermi level comes out at 1.094 states/eV per atom. Its electronic total energy is -4.957 eV per atom.

Cell: 7.924 7.924 3.595 Å, 90.00 90.00 120.00°
Element x y z (fractional)
1 Tm 0.000 0.597 0.000
2 Tm 0.403 0.403 0.000
3 Tm 0.597 0.000 0.000
4 Mg 0.000 0.000 0.000
5 In 0.000 0.283 0.500
6 In 0.283 0.000 0.500
7 In 0.717 0.717 0.500
8 Ru 0.333 0.667 0.500
9 Ru 0.667 0.333 0.500

[4]
This record from Alexandria describes YMgInRu after structural relaxation. The functional is PBE-GGA.

Computed properties:
Its space-group type is F-43m. The density of states at the Fermi level comes out at 1.136 states/eV per atom. Its electronic total energy is -5.152 eV per atom.

Cell: 4.856 4.856 4.856 Å, 60.00 60.00 60.00°
Element x y z (fractional)
1 Y 0.000 0.000 0.000
2 Mg 0.750 0.750 0.750
3 In 0.500 0.500 0.500
4 Ru 0.250 0.250 0.250

[5]
This record from Alexandria describes Mg3InS after structural relaxation. The functional is PBE-GGA.

Computed properties:
Its space-group type is Pm-3m. The calculation puts the energy relative to the elements, uncorrected at -252 meV/atom. The density of states at the Fermi level comes out at 0.446 states/eV per atom. As for the offset from the most stable computed form: 0.0000 eV per atom.

Cell: 4.892 4.892 4.892 Å, 90.00 90.00 90.00°
Element x y z (fractional)
1 Mg 0.000 0.000 0.500
2 Mg 0.000 0.500 0.000
3 Mg 0.500 0.000 0.000
4 In 0.500 0.500 0.500
5 S 0.000 0.000 0.000

[6]
This record from Alexandria describes MgInS3 after structural relaxation. The functional is PBE-GGA.

Computed properties:
Its space-group type is P-6c2. The calculation puts the energy relative to the elements, uncorrected at -529 meV/atom. The density of states at the Fermi level comes out at 0.485 states/eV per atom. As for the offset from the most stable computed form: 0.1203 eV per atom.

Cell: 6.060 6.060 6.541 Å, 90.00 90.00 120.00°
Element x y z (fractional)
1 Mg 0.000 0.000 0.000
2 Mg 0.000 0.000 0.500
3 In 0.667 0.333 0.000
4 In 0.667 0.333 0.500
5 S 0.019 0.347 0.250
6 S 0.019 0.672 0.750
7 S 0.328 0.347 0.750
8 S 0.328 0.981 0.250
9 S 0.653 0.672 0.250
10 S 0.653 0.981 0.750